(1)
Entry from Alexandria via LeMat-Bulk: Pm10Y6Er after structural relaxation (GGA-PBE).

Its formation energy from the elements is 2.20 eV/f.u. The density of states at the Fermi level comes out at 1.470 states/eV/atom.

The space group is P-31m (No. 162) and the conventional cell measures 9.8295, 9.8295 and 6.9073 Å, with angles of 90.00, 90.00 and 120.00 degrees. The distinct sites, in fractional coordinates, are Pm at (0.0000, 0.2738, 0.1838), Pm at (0.3333, 0.6667, 0.0000), Pm at (0.3333, 0.6667, 0.5000), Y at (0.0000, 0.3705, 0.6915) and Er at (0.0000, 0.0000, 0.5000).

=====

(2)
Entry from Alexandria via LeMat-Bulk: NaPmP2O6 after structural relaxation (GGA-PBE).

The uncorrected formation energy comes out at -2258 meV/atom.

The space group is R-3 (No. 148, hexagonal axes) and the conventional cell measures 5.4024, 5.4024 and 17.6166 Å, with angles of 90.00, 90.00 and 120.00 degrees. The distinct sites, in fractional coordinates, are Na at (0.0000, 0.0000, 0.0000), Pm at (0.0000, 0.0000, 0.5000), P at (0.0000, 0.0000, 0.2692) and O at (0.0080, 0.2802, 0.2444).

=====

(3)
Entry from Alexandria via LeMat-Bulk: Sn2PdPt4 after structural relaxation (GGA-PBE).

Its formation energy from the elements is -1.26 eV/f.u. The density of states at the Fermi level comes out at 0.531 states/eV/atom.

The space group is C2/c (No. 15) and the conventional cell measures 10.4148, 9.7814 and 6.8927 Å, with angles of 90.00, 131.25 and 90.00 degrees. The distinct sites, in fractional coordinates, are Sn at (0.0000, 0.0000, 0.0000), Sn at (0.2500, 0.2500, 0.0000), Pd at (0.0000, 0.4658, 0.7500), Pt at (0.0002, 0.2797, 0.0321) and Pt at (0.2208, 0.1100, 0.4699).

=====

(4)
Entry from Alexandria via LeMat-Bulk: LiLaIO2 after structural relaxation (GGA-PBE).

The uncorrected formation energy comes out at -1052 meV/atom. The density of states at the Fermi level comes out at 0.654 states/eV/atom.

The space group is P4/mmm (No. 123) and the conventional cell measures 4.4077, 4.4077 and 4.5950 Å, with angles of 90.00, 90.00 and 90.00 degrees. The distinct sites, in fractional coordinates, are Li at (0.0000, 0.0000, 0.0000), La at (0.5000, 0.5000, 0.5000), I at (0.0000, 0.0000, 0.5000) and O at (0.0000, 0.5000, 0.0000).

=====

(5)
Entry from Alexandria via LeMat-Bulk: Nb3BrCl after structural relaxation (GGA-PBE).

The uncorrected formation energy comes out at 938 meV/atom. The density of states at the Fermi level comes out at 0.813 states/eV/atom.

The space group is Pm-3m (No. 221) and the conventional cell measures 4.6428, 4.6428 and 4.6428 Å, with angles of 90.00, 90.00 and 90.00 degrees. The distinct sites, in fractional coordinates, are Nb at (0.0000, 0.0000, 0.5000), Br at (0.5000, 0.5000, 0.5000) and Cl at (0.0000, 0.0000, 0.0000).

=====

(6)
Entry from Alexandria via LeMat-Bulk: Li2PrNd2Si2 after structural relaxation (GGA-PBE).

The uncorrected formation energy comes out at -383 meV/atom. The density of states at the Fermi level comes out at 0.687 states/eV/atom.

The space group is R-3m (No. 166, hexagonal axes) and the conventional cell measures 4.5411, 4.5411 and 27.7827 Å, with angles of 90.00, 90.00 and 120.00 degrees. The distinct sites, in fractional coordinates, are Li at (0.0000, 0.0000, 0.0991), Pr at (0.0000, 0.0000, 0.5000), Nd at (0.0000, 0.0000, 0.3724) and Si at (0.0000, 0.0000, 0.2371).